Entry 1:
4
Lattice="3.467 0.000 0.000 0.000 3.270 0.007 0.000 2.480 6.859" Properties=species:S:1:pos:R:3 comment="NiIrPb2 | the Alexandria database | PBE | optimized geometry" polymorph_energy_mev_per_atom=240.6 pbc="T T T"
Ir 1.733 1.438 1.717
Pb 0.000 5.645 6.841
Pb 0.000 2.980 3.458
Ni 1.733 4.313 5.150

=====

Entry 2:
VASP calculation (PBE) on a geometry-optimized Ni2IrPb structure.

```
4
Lattice="8.612 0.010 0.006 8.102 2.918 0.006 8.102 1.419 2.549" Properties=species:S:1:pos:R:3 pbc="T T T"
Ni 12.213 2.140 1.261
Pb 6.204 1.087 0.640
Ir 18.612 3.261 1.921
Ni 0.195 0.034 0.020
```

=====

Entry 3:
VASP calculation (PBE) on a geometry-optimized NiIr3Pb structure.

```
5
Lattice="-2.535 1.554 3.976 -4.061 -2.306 -1.688 1.318 -4.114 2.448" Properties=species:S:1:pos:R:3 pbc="T T T"
Ir -2.030 -1.153 -0.844
Pb 0.000 0.000 0.000
Ni -2.639 -2.433 2.368
Ir -1.268 0.777 1.988
Ir 0.659 -2.057 1.224
```

=====

| no. | DOS at the Fermi energy (states/eV/atom) | E_form (eV/atom) |
| --- | --- | --- |
| 1 | 1.099 | 0.453 |
| 2 | 1.564 | 0.520 |
| 3 | 1.432 | 2.581 |